Entry 1:
Compound: PmYMnTl
Source: Alexandria via LeMat-Bulk
Functional: GGA-PBE
Structure: optimized geometry

a = 7.4860 Å, b = 7.4860 Å, c = 7.4860 Å
α = 90.00°, β = 90.00°, γ = 90.00°
Space group F-43m (No. 216)
Symmetry-distinct sites (fractional):
Pm 0.0000 0.0000 0.0000 x4
Y 0.0000 0.0000 0.5000 x4
Mn 0.2500 0.2500 0.7500 x4
Tl 0.2500 0.2500 0.2500 x4

For the formation enthalpy at 0 K, the calculation gives -0.022 eV/atom.

***

Entry 2:
Compound: Ce2YSc
Source: Alexandria via LeMat-Bulk
Functional: GGA-PBE
Structure: optimized geometry

a = 3.4063 Å, b = 3.4063 Å, c = 33.9385 Å
α = 90.00°, β = 90.00°, γ = 120.00°
Space group R3m (No. 160, hexagonal axes)
Symmetry-distinct sites (fractional):
Ce 0.0000 0.0000 0.0000 x3
Ce 0.0000 0.0000 0.1594 x3
Y 0.0000 0.0000 0.5815 x3
Sc 0.0000 0.0000 0.4121 x3

For the formation enthalpy at 0 K, the calculation gives 0.099 eV/atom.

***

Entry 3:
Compound: CoOsRh2
Source: Alexandria via LeMat-Bulk
Functional: GGA-PBE
Structure: optimized geometry

a = 8.8332 Å, b = 2.6823 Å, c = 4.6353 Å
α = 90.00°, β = 100.36°, γ = 90.00°
Space group Cm (No. 8)
Symmetry-distinct sites (fractional):
Co 0.0000 0.0000 0.0000 x2
Os 0.2442 0.5000 0.2500 x2
Rh 0.2522 0.0000 0.7648 x2
Rh 0.4954 0.0000 0.4864 x2

For the formation enthalpy at 0 K, the calculation gives 0.092 eV/atom.

***

Entry 4:
Compound: LiCd2AgSn
Source: Alexandria via LeMat-Bulk
Functional: GGA-PBE
Structure: optimized geometry

a = 4.6937 Å, b = 10.4835 Å, c = 8.9001 Å
α = 90.00°, β = 90.00°, γ = 90.00°
Space group Cmcm (No. 63)
Symmetry-distinct sites (fractional):
Li 0.0000 0.0000 0.0000 x4
Cd 0.0000 0.3148 0.0460 x8
Ag 0.0000 0.1561 0.7500 x4
Sn 0.0000 0.4625 0.7500 x4

For the formation enthalpy at 0 K, the calculation gives -0.109 eV/atom.